Compound: Ho4Er6Zr
Source: the Alexandria database
Functional: PBE
Structure: optimized geometry

Computed properties:
Energy of formation from the pure elements: 1.665 eV per formula unit
Space group: P4/mnc

a b c (Å): 8.670 8.670 8.796
angles (deg): 90.00 90.00 90.00
Element x y z (fractional)
Ho1 0.146 0.354 0.250
Ho2 0.146 0.354 0.750
Ho3 0.354 0.854 0.250
Ho4 0.354 0.854 0.750
Ho5 0.646 0.146 0.250
Ho6 0.646 0.146 0.750
Ho7 0.854 0.646 0.250
Ho8 0.854 0.646 0.750
Er1 0.000 0.000 0.174
Er2 0.000 0.000 0.826
Er3 0.151 0.654 0.500
Er4 0.154 0.651 0.000
Er5 0.346 0.151 0.500
Er6 0.349 0.154 0.000
Er7 0.500 0.500 0.326
Er8 0.500 0.500 0.674
Er9 0.651 0.846 0.000
Er10 0.654 0.849 0.500
Er11 0.846 0.349 0.000
Er12 0.849 0.346 0.500
Zr1 0.000 0.000 0.500
Zr2 0.500 0.500 0.000